Material: LiSmTh2S4
Method: DFT, PBE-GGA
State: relaxed

Results
Size of the total moment: 0.000 μB per cell
Formation energy (no corrections): -1.79 eV/atom
Mass density: 7.0 g cm⁻³
Uncorrected energy: -52.285 eV per cell
Crystal system: monoclinic
V: 179 Å³/f.u.

a = 3.952 Å, b = 6.833 Å, c = 6.993 Å
α = 108.79°, β = 90.00°, γ = 90.00°
Sites, in units of the cell vectors:
S 0.000 0.263 0.765
S 0.500 0.257 0.237
Li 0.500 0.500 0.000
S 0.500 0.743 0.763
S 0.000 0.737 0.235
Th 0.000 0.500 0.500
Sm 0.000 0.000 0.000
Th 0.500 0.000 0.500